# 1
# InGe2As PBE relaxed
data_InGe2As
_cell_length_a 6.059
_cell_length_b 6.059
_cell_length_c 11.843
_cell_angle_alpha 90.00
_cell_angle_beta 90.00
_cell_angle_gamma 90.00
_symmetry_space_group_name_H-M 'I -4 2 d'
_symmetry_Int_Tables_number 122
_symmetry_space_group_name_Hall 'I -4 2bw'
loop_
_atom_site_label
_atom_site_fract_x
_atom_site_fract_y
_atom_site_fract_z
In1 0.000 0.000 0.000
Ge1 0.230 0.250 0.625
As1 0.000 0.000 0.500
# N(E_F): 0.00 states/eV/f.u.
# ρ: 5.1 Mg/m³
# M_tot: 0.00 μB per formula unit
# V: 27.17 Å³ per atom
# ΔH_f (0 K): 0.06 eV per atom
# Energy: -16.37 eV per formula unit

---

# 2
# RbFeW3 PBE relaxed
data_RbFeW3
_cell_length_a 4.674
_cell_length_b 4.674
_cell_length_c 4.674
_cell_angle_alpha 90.00
_cell_angle_beta 90.00
_cell_angle_gamma 90.00
_symmetry_space_group_name_H-M 'P m -3 m'
_symmetry_Int_Tables_number 221
_symmetry_space_group_name_Hall '-P 4 2 3'
loop_
_atom_site_label
_atom_site_fract_x
_atom_site_fract_y
_atom_site_fract_z
Rb1 0.000 0.000 0.000
Fe1 0.500 0.500 0.500
W1 0.000 0.500 0.500
# N(E_F): 5.75 states/eV/f.u.
# ρ: 11.3 Mg/m³
# M_tot: 0.00 μB per formula unit
# V: 20.42 Å³ per atom
# ΔH_f (0 K): 2.02 eV per atom
# Energy: -38.20 eV per formula unit

---

# 3
# BaHgSe2 PBE relaxed
data_BaHgSe2
_cell_length_a 4.528
_cell_length_b 15.885
_cell_length_c 7.454
_cell_angle_alpha 90.00
_cell_angle_beta 90.00
_cell_angle_gamma 90.00
_symmetry_space_group_name_H-M 'C m c 21'
_symmetry_Int_Tables_number 36
_symmetry_space_group_name_Hall 'C 2c -2'
loop_
_atom_site_label
_atom_site_fract_x
_atom_site_fract_y
_atom_site_fract_z
Ba1 0.000 0.105 0.000
Hg1 0.000 0.354 0.983
Se1 0.000 0.266 0.702
Se2 0.000 0.472 0.210
# N(E_F): 0.00 states/eV/f.u.
# ρ: 6.1 Mg/m³
# Uncorrected formation energy: -1.142 eV/atom
# M_tot: 0.00 μB per formula unit
# V: 33.51 Å³ per atom
# Energy: -13.76 eV per formula unit

---

# 4
# YTi4Co5 PBE relaxed
data_YTi4Co5
_cell_length_a 3.013
_cell_length_b 3.013
_cell_length_c 15.595
_cell_angle_alpha 90.00
_cell_angle_beta 90.00
_cell_angle_gamma 90.00
_symmetry_space_group_name_H-M 'P 4/m m m'
_symmetry_Int_Tables_number 123
_symmetry_space_group_name_Hall '-P 4 2'
loop_
_atom_site_label
_atom_site_fract_x
_atom_site_fract_y
_atom_site_fract_z
Y1 0.000 0.000 0.000
Ti1 0.000 0.000 0.215
Ti2 0.000 0.000 0.406
Co1 0.500 0.500 0.137
Co2 0.500 0.500 0.317
Co3 0.500 0.500 0.500
# N(E_F): 8.77 states/eV/f.u.
# ρ: 6.7 Mg/m³
# M_tot: 0.30 μB per formula unit
# V: 14.16 Å³ per atom
# ΔH_f (0 K): -0.34 eV per atom
# Energy: -76.96 eV per formula unit

---

# 5
# LiAl2TcPb PBE relaxed
data_LiAl2TcPb
_cell_length_a 5.285
_cell_length_b 5.285
_cell_length_c 4.812
_cell_angle_alpha 90.00
_cell_angle_beta 90.00
_cell_angle_gamma 90.00
_symmetry_space_group_name_H-M 'P 4/m m m'
_symmetry_Int_Tables_number 123
_symmetry_space_group_name_Hall '-P 4 2'
loop_
_atom_site_label
_atom_site_fract_x
_atom_site_fract_y
_atom_site_fract_z
Li1 0.000 0.000 0.000
Al1 0.000 0.500 0.500
Tc1 0.500 0.500 0.000
Pb1 0.000 0.000 0.500
# N(E_F): 3.46 states/eV/f.u.
# ρ: 4.5 Mg/m³
# M_tot: 3.77 μB per formula unit
# V: 26.87 Å³ per atom
# ΔH_f (0 K): 1.36 eV per atom
# Energy: -16.66 eV per formula unit

---

# 6
# Y10Tm4Zr PBE relaxed
data_Y10Tm4Zr
_cell_length_a 11.221
_cell_length_b 11.221
_cell_length_c 7.648
_cell_angle_alpha 90.00
_cell_angle_beta 90.00
_cell_angle_gamma 90.00
_symmetry_space_group_name_H-M 'I 4/m m m'
_symmetry_Int_Tables_number 139
_symmetry_space_group_name_Hall '-I 4 2'
loop_
_atom_site_label
_atom_site_fract_x
_atom_site_fract_y
_atom_site_fract_z
Y1 0.000 0.209 0.215
Y2 0.000 0.500 0.250
Tm1 0.230 0.230 0.500
Zr1 0.000 0.000 0.500
# N(E_F): 21.81 states/eV/f.u.
# ρ: 5.7 Mg/m³
# M_tot: 0.00 μB per formula unit
# V: 32.10 Å³ per atom
# ΔH_f (0 K): 0.24 eV per atom
# Energy: -87.41 eV per formula unit

---

# 7
# SiSn PBE relaxed
data_SiSn
_cell_length_a 3.684
_cell_length_b 3.690
_cell_length_c 7.977
_cell_angle_alpha 89.53
_cell_angle_beta 80.22
_cell_angle_gamma 60.38
_symmetry_space_group_name_H-M 'P -1'
_symmetry_Int_Tables_number 2
_symmetry_space_group_name_Hall '-P 1'
loop_
_atom_site_label
_atom_site_fract_x
_atom_site_fract_y
_atom_site_fract_z
Si1 0.204 0.150 0.432
Sn1 0.096 0.704 0.158
# N(E_F): 0.41 states/eV/f.u.
# ρ: 5.3 Mg/m³
# Uncorrected formation energy: 0.225 eV/atom
# M_tot: 0.00 μB per formula unit
# V: 23.14 Å³ per atom
# Energy: -8.97 eV per formula unit

---

# 8
# Ce3Zn2Ni4 PBE relaxed
data_Ce3Zn2Ni4
_cell_length_a 9.347
_cell_length_b 4.294
_cell_length_c 8.141
_cell_angle_alpha 90.00
_cell_angle_beta 94.88
_cell_angle_gamma 90.00
_symmetry_space_group_name_H-M 'C 1 2/m 1'
_symmetry_Int_Tables_number 12
_symmetry_space_group_name_Hall '-C 2y'
loop_
_atom_site_label
_atom_site_fract_x
_atom_site_fract_y
_atom_site_fract_z
Ce1 0.000 0.000 0.000
Ce2 0.122 0.500 0.390
Zn1 0.182 0.500 0.784
Ni1 0.088 0.000 0.637
Ni2 0.225 0.500 0.090
# N(E_F): 13.42 states/eV/f.u.
# ρ: 8.0 Mg/m³
# M_tot: 1.23 μB per formula unit
# V: 18.08 Å³ per atom
# ΔH_f (0 K): -0.35 eV per atom
# Energy: -46.66 eV per formula unit

---

# 9
# Sr2MgZn3Ge4 PBE relaxed
data_Sr2MgZn3Ge4
_cell_length_a 4.422
_cell_length_b 4.422
_cell_length_c 11.005
_cell_angle_alpha 90.00
_cell_angle_beta 90.00
_cell_angle_gamma 90.00
_symmetry_space_group_name_H-M 'P -4 m 2'
_symmetry_Int_Tables_number 115
_symmetry_space_group_name_Hall 'P -4 -2'
loop_
_atom_site_label
_atom_site_fract_x
_atom_site_fract_y
_atom_site_fract_z
Sr1 0.000 0.500 0.243
Mg1 0.000 0.000 0.500
Zn1 0.000 0.500 0.869
Zn2 0.500 0.500 0.500
Ge1 0.000 0.000 0.000
Ge2 0.000 0.500 0.640
Ge3 0.500 0.500 0.000
# N(E_F): 1.90 states/eV/f.u.
# ρ: 5.3 Mg/m³
# M_tot: 0.00 μB per formula unit
# V: 21.52 Å³ per atom
# ΔH_f (0 K): -0.40 eV per atom
# Energy: -31.27 eV per formula unit